Entry 1:
The following is a PBE calculation of an optimized crystal structure of AsP2, from Alexandria.

The calculation puts the formation energy at 0.290 eV/atom. The energy above the lowest structure with this stoichiometry is 180 meV/atom. The value obtained for the total magnetic moment is 0.0 μB per formula unit. The volume is 114 Å³/cell.

The space group is I4/mmm (No. 139) and the conventional cell measures 3.065, 3.065 and 12.147 Å, with angles of 90.00, 90.00 and 90.00 degrees. The distinct sites, in fractional coordinates, are As at (0.000, 0.000, 0.000) and P at (0.000, 0.000, 0.216).

Entry 2:
The following is a PBE calculation of an optimized crystal structure of ZrMnBr, from Alexandria.

The value obtained for the total magnetic moment is 2.0 μB per formula unit. Its uncorrected formation energy is 641 meV/atom. The volume is 283 Å³/cell.

The space group is F-43m (No. 216) and the conventional cell measures 6.569, 6.569 and 6.569 Å, with angles of 90.00, 90.00 and 90.00 degrees. The distinct sites, in fractional coordinates, are Zr at (0.000, 0.000, 0.000), Mn at (0.250, 0.250, 0.250) and Br at (0.250, 0.250, 0.750).

Entry 3:
The following is a PBE calculation of an optimized crystal structure of Pr2Nd4Dy2Tm, from Alexandria.

The calculation puts the formation energy at 0.010 eV/atom. The value obtained for the total magnetic moment is 0.0 μB per formula unit. The volume is 614 Å³/cell.

The space group is C2/m (No. 12) and the conventional cell measures 18.989, 3.676 and 9.747 Å, with angles of 90.00, 115.56 and 90.00 degrees. The distinct sites, in fractional coordinates, are Pr at (0.165, 0.000, 0.498), Nd at (0.018, 0.000, 0.833), Nd at (0.186, 0.500, 0.833), Dy at (0.148, 0.500, 0.167) and Tm at (0.000, 0.500, 0.500).

Entry 4:
The following is a PBE calculation of an optimized crystal structure of ZnReSbTe2, from Alexandria.

The energy above the lowest structure with this stoichiometry is 0 meV/atom. The value obtained for the total magnetic moment is 0.0 μB per formula unit. Its uncorrected formation energy is 749 meV/atom. The volume is 147 Å³/cell.

The space group is P4/mmm (No. 123) and the conventional cell measures 5.307, 5.307 and 5.208 Å, with angles of 90.00, 90.00 and 90.00 degrees. The distinct sites, in fractional coordinates, are Zn at (0.000, 0.000, 0.000), Re at (0.500, 0.500, 0.500), Sb at (0.500, 0.500, 0.000) and Te at (0.000, 0.500, 0.500).